<w>
# GGA-PBE SrZrCd, optimized geometry
# D(E_F) in states/eV/atom: 1.078
# ρ in g cm⁻³: 5.5
# Space-group type: No. 107
data_SrZrCd
_chemical_formula_sum 'Sr1 Zr1 Cd1'
_cell_length_a 7.252
_cell_length_b 7.252
_cell_length_c 7.252
_cell_angle_alpha 151.35
_cell_angle_beta 151.35
_cell_angle_gamma 40.96
_space_group_name_H-M_alt 'P 1'
_space_group_IT_number 1
_space_group_name_Hall 'P 1'
loop_
_atom_site_label
_atom_site_type_symbol
_atom_site_fract_x
_atom_site_fract_y
_atom_site_fract_z
Sr1 Sr 0.000 0.000 0.000
Zr1 Zr 0.699 0.699 0.000
Cd1 Cd 0.319 0.319 0.000


<x>
# GGA-PBE SrZrCd, optimized geometry
# D(E_F) in states/eV/atom: 1.252
# ρ in g cm⁻³: 4.9
# Space-group type: No. 216
data_SrZrCd
_chemical_formula_sum 'Sr1 Zr1 Cd1'
_cell_length_a 5.197
_cell_length_b 5.197
_cell_length_c 5.197
_cell_angle_alpha 60.00
_cell_angle_beta 60.00
_cell_angle_gamma 60.00
_space_group_name_H-M_alt 'P 1'
_space_group_IT_number 1
_space_group_name_Hall 'P 1'
loop_
_atom_site_label
_atom_site_type_symbol
_atom_site_fract_x
_atom_site_fract_y
_atom_site_fract_z
Sr1 Sr 0.000 0.000 0.000
Zr1 Zr 0.750 0.750 0.750
Cd1 Cd 0.250 0.250 0.250


Energy above the most stable structure, in meV/atom: <w> 0; <x> 982


<w>
# GGA-PBE SrZrCd, optimized geometry
# D(E_F) in states/eV/atom: 1.412
# ρ in g cm⁻³: 4.6
# Space-group type: No. 129
data_SrZrCd
_chemical_formula_sum 'Sr2 Zr2 Cd2'
_cell_length_a 5.257
_cell_length_b 5.257
_cell_length_c 7.556
_cell_angle_alpha 90.00
_cell_angle_beta 90.00
_cell_angle_gamma 90.00
_space_group_name_H-M_alt 'P 1'
_space_group_IT_number 1
_space_group_name_Hall 'P 1'
loop_
_atom_site_label
_atom_site_type_symbol
_atom_site_fract_x
_atom_site_fract_y
_atom_site_fract_z
Sr1 Sr 0.250 0.250 0.169
Sr2 Sr 0.750 0.750 0.831
Zr1 Zr 0.250 0.250 0.649
Zr2 Zr 0.750 0.750 0.351
Cd1 Cd 0.250 0.750 0.500
Cd2 Cd 0.750 0.250 0.500


<x>
# GGA-PBE SrZrCd, optimized geometry
# D(E_F) in states/eV/atom: 0.890
# ρ in g cm⁻³: 5.6
# Space-group type: No. 12
data_SrZrCd
_chemical_formula_sum 'Sr2 Zr2 Cd2'
_cell_length_a 9.145
_cell_length_b 9.145
_cell_length_c 5.407
_cell_angle_alpha 90.02
_cell_angle_beta 90.02
_cell_angle_gamma 22.27
_space_group_name_H-M_alt 'P 1'
_space_group_IT_number 1
_space_group_name_Hall 'P 1'
loop_
_atom_site_label
_atom_site_type_symbol
_atom_site_fract_x
_atom_site_fract_y
_atom_site_fract_z
Sr1 Sr 0.077 0.077 0.250
Sr2 Sr 0.923 0.923 0.750
Zr1 Zr 0.240 0.240 0.749
Zr2 Zr 0.760 0.760 0.251
Cd1 Cd 0.397 0.397 0.250
Cd2 Cd 0.603 0.603 0.750


Energy above the most stable structure, in meV/atom: <w> 329; <x> 0


<w>
# GGA-PBE Ta4Cd, optimized geometry
# D(E_F) in states/eV/atom: 1.157
# ρ in g cm⁻³: 13.2
# Space-group type: No. 139
data_Ta4Cd
_chemical_formula_sum 'Ta4 Cd1'
_cell_length_a 7.290
_cell_length_b 7.290
_cell_length_c 7.290
_cell_angle_alpha 148.58
_cell_angle_beta 148.58
_cell_angle_gamma 45.03
_space_group_name_H-M_alt 'P 1'
_space_group_IT_number 1
_space_group_name_Hall 'P 1'
loop_
_atom_site_label
_atom_site_type_symbol
_atom_site_fract_x
_atom_site_fract_y
_atom_site_fract_z
Ta1 Ta 0.099 0.099 0.000
Ta2 Ta 0.250 0.750 0.500
Ta3 Ta 0.750 0.250 0.500
Ta4 Ta 0.901 0.901 0.000
Cd1 Cd 0.500 0.500 0.000


<x>
# GGA-PBE Ta4Cd, optimized geometry
# D(E_F) in states/eV/atom: 1.219
# ρ in g cm⁻³: 11.8
# Space-group type: No. 221
data_Ta4Cd
_chemical_formula_sum 'Ta4 Cd1'
_cell_length_a 4.895
_cell_length_b 4.895
_cell_length_c 4.895
_cell_angle_alpha 90.00
_cell_angle_beta 90.00
_cell_angle_gamma 90.00
_space_group_name_H-M_alt 'P 1'
_space_group_IT_number 1
_space_group_name_Hall 'P 1'
loop_
_atom_site_label
_atom_site_type_symbol
_atom_site_fract_x
_atom_site_fract_y
_atom_site_fract_z
Ta1 Ta 0.000 0.000 0.000
Ta2 Ta 0.000 0.500 0.500
Ta3 Ta 0.500 0.000 0.500
Ta4 Ta 0.500 0.500 0.000
Cd1 Cd 0.500 0.500 0.500


<y>
# GGA-PBE Ta4Cd, optimized geometry
# D(E_F) in states/eV/atom: 0.986
# ρ in g cm⁻³: 14.7
# Space-group type: No. 87
data_Ta4Cd
_chemical_formula_sum 'Ta4 Cd1'
_cell_length_a 5.492
_cell_length_b 5.492
_cell_length_c 5.492
_cell_angle_alpha 95.75
_cell_angle_beta 95.75
_cell_angle_gamma 143.09
_space_group_name_H-M_alt 'P 1'
_space_group_IT_number 1
_space_group_name_Hall 'P 1'
loop_
_atom_site_label
_atom_site_type_symbol
_atom_site_fract_x
_atom_site_fract_y
_atom_site_fract_z
Ta1 Ta 0.097 0.310 0.407
Ta2 Ta 0.310 0.903 0.214
Ta3 Ta 0.690 0.097 0.786
Ta4 Ta 0.903 0.690 0.593
Cd1 Cd 0.500 0.500 0.000


Energy above the most stable structure, in meV/atom: <w> 646; <x> 2056; <y> 0


<w>
# GGA-PBE TaCd4, optimized geometry
# D(E_F) in states/eV/atom: 0.987
# ρ in g cm⁻³: 10.0
# Space-group type: No. 87
data_TaCd4
_chemical_formula_sum 'Ta1 Cd4'
_cell_length_a 5.357
_cell_length_b 5.357
_cell_length_c 5.357
_cell_angle_alpha 99.65
_cell_angle_beta 99.65
_cell_angle_gamma 131.65
_space_group_name_H-M_alt 'P 1'
_space_group_IT_number 1
_space_group_name_Hall 'P 1'
loop_
_atom_site_label
_atom_site_type_symbol
_atom_site_fract_x
_atom_site_fract_y
_atom_site_fract_z
Ta1 Ta 0.000 0.000 0.000
Cd1 Cd 0.204 0.398 0.602
Cd2 Cd 0.398 0.796 0.194
Cd3 Cd 0.602 0.204 0.806
Cd4 Cd 0.796 0.602 0.398


<x>
# GGA-PBE TaCd4, optimized geometry
# D(E_F) in states/eV/atom: 0.663
# ρ in g cm⁻³: 9.6
# Space-group type: No. 139
data_TaCd4
_chemical_formula_sum 'Ta1 Cd4'
_cell_length_a 7.317
_cell_length_b 7.317
_cell_length_c 7.317
_cell_angle_alpha 148.15
_cell_angle_beta 148.15
_cell_angle_gamma 45.66
_space_group_name_H-M_alt 'P 1'
_space_group_IT_number 1
_space_group_name_Hall 'P 1'
loop_
_atom_site_label
_atom_site_type_symbol
_atom_site_fract_x
_atom_site_fract_y
_atom_site_fract_z
Ta1 Ta 0.000 0.000 0.000
Cd1 Cd 0.250 0.750 0.500
Cd2 Cd 0.403 0.403 0.000
Cd3 Cd 0.597 0.597 0.000
Cd4 Cd 0.750 0.250 0.500


Energy above the most stable structure, in meV/atom: <w> 0; <x> 237


<w>
# GGA-PBE Ta5Cd3, optimized geometry
# D(E_F) in states/eV/atom: 0.725
# ρ in g cm⁻³: 13.1
# Space-group type: No. 193
data_Ta5Cd3
_chemical_formula_sum 'Ta10 Cd6'
_cell_length_a 8.348
_cell_length_b 8.348
_cell_length_c 5.199
_cell_angle_alpha 90.00
_cell_angle_beta 90.00
_cell_angle_gamma 120.00
_space_group_name_H-M_alt 'P 1'
_space_group_IT_number 1
_space_group_name_Hall 'P 1'
loop_
_atom_site_label
_atom_site_type_symbol
_atom_site_fract_x
_atom_site_fract_y
_atom_site_fract_z
Ta1 Ta 0.000 0.196 0.250
Ta2 Ta 0.000 0.804 0.750
Ta3 Ta 0.196 0.000 0.250
Ta4 Ta 0.196 0.196 0.750
Ta5 Ta 0.333 0.667 0.000
Ta6 Ta 0.333 0.667 0.500
Ta7 Ta 0.667 0.333 0.000
Ta8 Ta 0.667 0.333 0.500
Ta9 Ta 0.804 0.000 0.750
Ta10 Ta 0.804 0.804 0.250
Cd1 Cd 0.000 0.405 0.750
Cd2 Cd 0.000 0.595 0.250
Cd3 Cd 0.405 0.000 0.750
Cd4 Cd 0.405 0.405 0.250
Cd5 Cd 0.595 0.000 0.250
Cd6 Cd 0.595 0.595 0.750


<x>
# GGA-PBE Ta5Cd3, optimized geometry
# D(E_F) in states/eV/atom: 0.782
# ρ in g cm⁻³: 13.5
# Space-group type: No. 15
data_Ta5Cd3
_chemical_formula_sum 'Ta10 Cd6'
_cell_length_a 7.582
_cell_length_b 7.582
_cell_length_c 5.841
_cell_angle_alpha 106.85
_cell_angle_beta 106.85
_cell_angle_gamma 79.31
_space_group_name_H-M_alt 'P 1'
_space_group_IT_number 1
_space_group_name_Hall 'P 1'
loop_
_atom_site_label
_atom_site_type_symbol
_atom_site_fract_x
_atom_site_fract_y
_atom_site_fract_z
Ta1 Ta 0.021 0.979 0.750
Ta2 Ta 0.120 0.615 0.497
Ta3 Ta 0.235 0.257 0.765
Ta4 Ta 0.257 0.235 0.265
Ta5 Ta 0.385 0.880 0.003
Ta6 Ta 0.615 0.120 0.997
Ta7 Ta 0.743 0.765 0.735
Ta8 Ta 0.765 0.743 0.235
Ta9 Ta 0.880 0.385 0.503
Ta10 Ta 0.979 0.021 0.250
Cd1 Cd 0.109 0.641 0.002
Cd2 Cd 0.359 0.891 0.498
Cd3 Cd 0.485 0.515 0.250
Cd4 Cd 0.515 0.485 0.750
Cd5 Cd 0.641 0.109 0.502
Cd6 Cd 0.891 0.359 0.998


Energy above the most stable structure, in meV/atom: <w> 209; <x> 0